The following is a PBE calculation of crystalline PrTmPu2 at its relaxed geometry, from Alexandria.

Computed properties:
formation enthalpy at 0 K: 0.21 eV per atom
DOS(E_F): 16.37 states/eV per cell
ΔE to the lowest computed polymorph: 0.009 eV per atom
crystal system: tetragonal
raw total energy: -37.079 eV for the cell shown

```
data_PrTmPu2
_chemical_formula_sum 'Pr1 Tm1 Pu2'
_cell_length_a 4.8604
_cell_length_b 4.8604
_cell_length_c 5.0461
_cell_angle_alpha 90.00
_cell_angle_beta 90.00
_cell_angle_gamma 90.00
_symmetry_space_group_name_H-M 'P 4/m m m'
_symmetry_Int_Tables_number 123
_symmetry_space_group_name_Hall '-P 4 2'
loop_
_atom_site_label
_atom_site_type_symbol
_atom_site_fract_x
_atom_site_fract_y
_atom_site_fract_z
Pr1 Pr 0.0000 0.0000 0.0000
Tm1 Tm 0.5000 0.5000 0.0000
Pu1 Pu 0.0000 0.5000 0.5000
```